1.
{
  "formula": "KNa4Zn",
  "functional": "GGA-PBE",
  "state": "optimized geometry",
  "dos_ef_per_ev_cell": 5.069,
  "e_form_ev_per_atom": 0.0420,
  "cell": [[5.785, -0.001, -1.434], [-0.711, 7.833, -2.875], [-0.465, -0.650, 10.538]],
  "species": ["K", "K", "Na", "Na", "Na", "Na", "Na", "Na", "Na", "Na", "Zn", "Zn"],
  "frac_coords": [[0.212, 0.212, 0.425], [0.788, 0.788, 0.575], [0.855, 0.355, 0.711], [0.601, 0.332, 0.202], [0.000, 0.195, 0.000], [0.399, 0.130, 0.798], [0.145, 0.645, 0.289], [0.399, 0.668, 0.798], [0.000, 0.805, 0.000], [0.601, 0.870, 0.202], [0.719, 0.500, 0.000], [0.281, 0.500, 0.000]]
}

***

2.
{
  "formula": "LiCaMn",
  "functional": "GGA-PBE",
  "state": "optimized geometry",
  "dos_ef_per_ev_cell": 2.671,
  "e_form_ev_per_atom": 0.3891,
  "cell": [[-2.490, -4.223, -3.291], [0.344, -2.882, -5.142], [1.835, -3.094, 0.567]],
  "species": ["Ca", "Li", "Mn"],
  "frac_coords": [[0.005, 0.005, 0.995], [0.302, 0.302, 0.698], [0.693, 0.693, 0.307]]
}

***

3.
{
  "formula": "NbCr3Cu2S8",
  "functional": "GGA-PBE",
  "state": "optimized geometry",
  "dos_ef_per_ev_cell": 9.175,
  "formation_energy_uncorrected_ev_per_atom": -0.485,
  "cell": [[-2.866, 4.675, -3.180], [-5.549, -4.479, -1.541], [-3.904, 3.933, 11.375]],
  "species": ["Nb", "Nb", "Cr", "Cr", "Cr", "Cr", "Cr", "Cr", "Cu", "Cu", "Cu", "Cu", "S", "S", "S", "S", "S", "S", "S", "S", "S", "S", "S", "S", "S", "S", "S", "S"],
  "frac_coords": [[0.146, 0.708, 0.289], [0.367, 0.561, 0.711], [0.844, 0.304, 0.722], [0.757, 0.119, 0.000], [0.246, 0.881, 0.001], [0.628, 0.443, 0.277], [0.631, 0.952, 0.281], [0.384, 0.063, 0.719], [0.872, 0.797, 0.723], [0.117, 0.188, 0.278], [0.751, 0.620, 0.996], [0.253, 0.364, 0.003], [0.904, 0.340, 0.899], [0.114, 0.653, 0.105], [0.904, 0.847, 0.906], [0.097, 0.143, 0.097], [0.801, 0.218, 0.348], [0.187, 0.801, 0.644], [0.804, 0.714, 0.353], [0.172, 0.285, 0.650], [0.698, 0.032, 0.654], [0.320, 0.983, 0.364], [0.694, 0.536, 0.638], [0.309, 0.454, 0.351], [0.594, 0.904, 0.100], [0.407, 0.091, 0.899], [0.607, 0.397, 0.098], [0.393, 0.600, 0.896]]
}

***

4.
{
  "formula": "PmMn4Al8",
  "functional": "GGA-PBE",
  "state": "optimized geometry",
  "dos_ef_per_ev_cell": 10.210,
  "e_form_ev_per_atom": -0.3276,
  "cell": [[-1.579, -4.384, 2.289], [5.132, -3.539, 2.650], [-1.467, 0.878, 6.555]],
  "species": ["Pm", "Mn", "Mn", "Mn", "Mn", "Al", "Al", "Al", "Al", "Al", "Al", "Al", "Al"],
  "frac_coords": [[0.000, 0.000, 0.000], [0.000, 0.000, 0.500], [0.500, 0.000, 0.500], [0.000, 0.500, 0.000], [0.500, 0.500, 0.000], [0.000, 0.339, 0.661], [0.000, 0.661, 0.339], [0.339, 0.661, 0.661], [0.661, 0.339, 0.339], [0.500, 0.773, 0.227], [0.500, 0.227, 0.773], [0.273, 0.227, 0.227], [0.727, 0.773, 0.773]]
}

***

5.
{
  "formula": "NaPt4Pb4",
  "functional": "GGA-PBE",
  "state": "optimized geometry",
  "dos_ef_per_ev_cell": 5.692,
  "e_form_ev_per_atom": -0.1675,
  "cell": [[5.618, 0.000, 0.000], [0.000, 9.222, 0.000], [0.000, 0.000, 9.222]],
  "species": ["Na", "Na", "Pt", "Pt", "Pt", "Pt", "Pt", "Pt", "Pt", "Pt", "Pb", "Pb", "Pb", "Pb", "Pb", "Pb", "Pb", "Pb"],
  "frac_coords": [[0.000, 0.000, 0.000], [0.500, 0.500, 0.500], [0.594, 0.816, 0.340], [0.594, 0.184, 0.660], [0.094, 0.840, 0.684], [0.906, 0.316, 0.840], [0.906, 0.684, 0.160], [0.406, 0.340, 0.184], [0.406, 0.660, 0.816], [0.094, 0.160, 0.316], [0.398, 0.359, 0.878], [0.898, 0.622, 0.859], [0.398, 0.641, 0.122], [0.102, 0.141, 0.622], [0.602, 0.878, 0.641], [0.102, 0.859, 0.378], [0.898, 0.378, 0.141], [0.602, 0.122, 0.359]]
}

***

6.
{
  "formula": "BaYIr2",
  "functional": "GGA-PBE",
  "state": "optimized geometry",
  "dos_ef_per_ev_cell": 3.885,
  "e_form_ev_per_atom": -0.2858,
  "cell": [[4.528, 0.000, 0.000], [0.000, 4.417, 0.003], [0.000, 2.209, 5.713]],
  "species": ["Ba", "Ir", "Ir", "Y"],
  "frac_coords": [[0.500, 0.781, 0.814], [0.000, 0.151, 0.074], [0.500, 0.067, 0.240], [0.000, 0.501, 0.372]]
}

***

7.
{
  "formula": "Li5CuSn5",
  "functional": "GGA-PBE",
  "state": "optimized geometry",
  "dos_ef_per_ev_cell": 3.418,
  "e_form_ev_per_atom": -0.0880,
  "cell": [[-0.589, 3.143, -4.355], [-3.674, -5.167, 0.119], [-4.129, 5.747, 4.705]],
  "species": ["Li", "Li", "Li", "Li", "Li", "Cu", "Sn", "Sn", "Sn", "Sn", "Sn"],
  "frac_coords": [[0.704, 0.408, 0.397], [0.597, 0.194, 0.721], [0.000, 0.000, 0.500], [0.403, 0.806, 0.279], [0.296, 0.592, 0.603], [0.000, 0.000, 0.000], [0.794, 0.587, 0.090], [0.855, 0.709, 0.716], [0.500, 0.000, 0.000], [0.145, 0.291, 0.284], [0.206, 0.413, 0.910]]
}

***

8.
{
  "formula": "KLi2Co",
  "functional": "GGA-PBE",
  "state": "optimized geometry",
  "dos_ef_per_ev_cell": 3.664,
  "e_form_ev_per_atom": 0.5801,
  "cell": [[6.624, 0.034, 0.036], [3.380, 5.697, -0.036], [-4.001, -4.612, 2.569]],
  "species": ["Co", "K", "Li", "Li"],
  "frac_coords": [[0.250, 0.750, 0.500], [0.750, 0.250, 0.500], [0.058, 0.058, 0.000], [0.442, 0.442, 0.000]]
}

***

9.
{
  "formula": "Al2PbAu",
  "functional": "GGA-PBE",
  "state": "optimized geometry",
  "dos_ef_per_ev_cell": 2.161,
  "e_form_ev_per_atom": 0.1506,
  "cell": [[-2.866, -2.959, -3.191], [1.314, -4.877, 1.281], [-1.581, 3.854, 3.130]],
  "species": ["Pb", "Au", "Al", "Al"],
  "frac_coords": [[0.750, 0.250, 0.500], [0.500, 0.500, 0.000], [0.000, 0.000, 0.000], [0.250, 0.750, 0.500]]
}

***

10.
{
  "formula": "AcY3B",
  "functional": "GGA-PBE",
  "state": "optimized geometry",
  "dos_ef_per_ev_cell": 6.047,
  "e_form_ev_per_atom": 0.0344,
  "cell": [[-0.017, 3.814, -3.628], [-1.115, -3.548, -3.725], [-5.144, 0.756, 0.819]],
  "species": ["Y", "Y", "Y", "Ac", "B"],
  "frac_coords": [[0.000, 0.500, 0.000], [0.000, 0.000, 0.500], [0.500, 0.000, 0.000], [0.500, 0.500, 0.500], [0.000, 0.000, 0.000]]
}

***

11.
{
  "formula": "YHo4CuS8",
  "functional": "GGA-PBE",
  "state": "optimized geometry",
  "formation_energy_uncorrected_ev_per_atom": -1.817,
  "cell": [[7.889, 0.000, 0.000], [3.945, 6.832, 0.000], [3.945, 2.277, 6.455]],
  "species": ["Y", "Ho", "Ho", "Ho", "Ho", "Cu", "S", "S", "S", "S", "S", "S", "S", "S"],
  "frac_coords": [[0.005, 0.005, 0.986], [0.625, 0.625, 0.124], [0.005, 0.486, 0.505], [0.486, 0.005, 0.505], [0.005, 0.005, 0.505], [0.374, 0.374, 0.877], [0.249, 0.755, 0.747], [0.755, 0.249, 0.747], [0.249, 0.249, 0.747], [0.248, 0.248, 0.256], [0.758, 0.224, 0.260], [0.224, 0.758, 0.260], [0.758, 0.758, 0.260], [0.759, 0.759, 0.723]]
}

***

12.
{
  "formula": "Ac4PmNd4",
  "functional": "GGA-PBE",
  "state": "optimized geometry",
  "dos_ef_per_ev_cell": 15.792,
  "e_form_ev_per_atom": 0.0353,
  "cell": [[5.104, 0.000, 1.729], [2.552, 8.107, 0.864], [-0.048, 0.000, 8.543]],
  "species": ["Ac", "Ac", "Ac", "Ac", "Pm", "Nd", "Nd", "Nd", "Nd"],
  "frac_coords": [[0.334, 0.333, 0.000], [0.666, 0.667, 0.000], [0.666, 0.000, 0.667], [0.334, 0.000, 0.333], [0.000, 0.000, 0.000], [0.000, 0.661, 0.339], [0.000, 0.339, 0.661], [0.661, 0.339, 0.339], [0.339, 0.661, 0.661]]
}